Entry 1:
## KPmInS3 (GGA-PBE)

Data for an optimized crystal structure of KPmInS3.

D(E_F): 2.01 states/eV/cell
uncorrected formation energy: -1.214 eV per atom
E_tot: -4.71 eV/atom
SG: P2_1/m

Cell: 4.541 8.568 9.833 Å, 104.97 90.00 90.00°
Fractional positions:
1 K 0.250 0.199 0.213
2 K 0.750 0.801 0.787
3 Pm 0.250 0.662 0.140
4 Pm 0.750 0.338 0.860
5 In 0.250 0.115 0.591
6 In 0.750 0.885 0.409
7 S 0.750 0.886 0.149
8 S 0.250 0.114 0.851
9 S 0.250 0.765 0.453
10 S 0.750 0.235 0.547
11 S 0.750 0.457 0.147
12 S 0.250 0.543 0.853

Entry 2:
## K4Pm3InSe8 (GGA-PBE)

Data for an optimized crystal structure of K4Pm3InSe8.

uncorrected formation energy: -1.507 eV per atom
E_tot: -4.59 eV/atom
SG: R-3m

Cell: 8.550 9.161 8.551 Å, 117.84 119.99 90.00°
Fractional positions:
1 K 0.500 0.000 0.000
2 K 0.500 0.000 0.500
3 K 0.000 0.000 0.000
4 K 0.000 0.000 0.500
5 Pm 0.500 0.500 0.000
6 Pm 0.500 0.500 0.500
7 Pm 0.000 0.500 0.500
8 In 0.000 0.500 0.000
9 Se 0.231 0.707 0.976
10 Se 0.231 0.707 0.462
11 Se 0.263 0.290 0.526
12 Se 0.746 0.707 0.976
13 Se 0.254 0.293 0.024
14 Se 0.737 0.710 0.474
15 Se 0.769 0.293 0.538
16 Se 0.769 0.293 0.024

Entry 3:
## K3Pm3InTe8 (GGA-PBE)

Data for an optimized crystal structure of K3Pm3InTe8.

D(E_F): 9.14 states/eV/cell
uncorrected formation energy: -1.102 eV per atom
E_tot: -4.13 eV/atom
SG: C2/m

Cell: 8.933 8.948 9.984 Å, 116.70 90.00 119.95°
Fractional positions:
1 K 0.000 0.000 0.000
2 K 0.000 0.500 0.000
3 K 0.500 0.500 0.000
4 Pm 0.500 0.000 0.500
5 Pm 0.500 0.500 0.500
6 Pm 0.000 0.500 0.500
7 In 0.000 0.000 0.500
8 Te 0.262 0.524 0.286
9 Te 0.738 0.476 0.714
10 Te 0.769 0.538 0.293
11 Te 0.231 0.462 0.707
12 Te 0.768 0.024 0.292
13 Te 0.232 0.976 0.708
14 Te 0.256 0.024 0.292
15 Te 0.744 0.976 0.708

Entry 4:
## K4Pm3InTe8 (GGA-PBE)

Data for an optimized crystal structure of K4Pm3InTe8.

D(E_F): 2.08 states/eV/cell
uncorrected formation energy: -1.191 eV per atom
E_tot: -4.10 eV/atom
SG: R-3m

Cell: 9.119 9.809 9.121 Å, 117.72 119.99 90.00°
Fractional positions:
1 K 0.500 0.000 0.000
2 K 0.500 0.000 0.500
3 K 0.000 0.000 0.000
4 K 0.000 0.000 0.500
5 Pm 0.500 0.500 0.000
6 Pm 0.500 0.500 0.500
7 Pm 0.000 0.500 0.500
8 In 0.000 0.500 0.000
9 Te 0.232 0.709 0.977
10 Te 0.232 0.709 0.464
11 Te 0.262 0.286 0.524
12 Te 0.745 0.709 0.977
13 Te 0.255 0.291 0.023
14 Te 0.738 0.714 0.476
15 Te 0.768 0.291 0.536
16 Te 0.768 0.291 0.023

Entry 5:
## K3Pm2InTe6 (GGA-PBE)

Data for an optimized crystal structure of K3Pm2InTe6.

uncorrected formation energy: -1.120 eV per atom
E_tot: -3.99 eV/atom
SG: C2/m

Cell: 7.880 7.880 8.682 Å, 98.72 98.72 120.01°
Fractional positions:
1 K 0.169 0.831 0.500
2 K 0.831 0.169 0.500
3 K 0.500 0.500 0.500
4 Pm 0.334 0.666 0.000
5 Pm 0.666 0.334 0.000
6 In 0.000 0.000 0.000
7 Te 0.931 0.608 0.791
8 Te 0.748 0.748 0.210
9 Te 0.069 0.392 0.209
10 Te 0.608 0.931 0.791
11 Te 0.252 0.252 0.790
12 Te 0.392 0.069 0.209

Entry 6:
## K2PmInTe4 (GGA-PBE)

Data for an optimized crystal structure of K2PmInTe4.

D(E_F): 3.56 states/eV/cell
uncorrected formation energy: -0.954 eV per atom
E_tot: -3.74 eV/atom
SG: Imma

Cell: 9.388 9.388 9.442 Å, 120.19 120.19 90.87°
Fractional positions:
1 K 0.500 0.000 0.000
2 K 0.500 0.000 0.500
3 K 0.000 0.000 0.500
4 K 0.500 0.500 0.000
5 Pm 0.000 0.500 0.000
6 Pm 0.000 0.500 0.500
7 In 0.500 0.500 0.500
8 In 0.000 0.000 0.000
9 Te 0.218 0.742 0.980
10 Te 0.758 0.282 0.520
11 Te 0.242 0.718 0.480
12 Te 0.782 0.258 0.020
13 Te 0.760 0.740 0.964
14 Te 0.760 0.740 0.536
15 Te 0.240 0.260 0.464
16 Te 0.240 0.260 0.036

Entry 7:
## KPmTlIn (GGA-PBE)

Data for an optimized crystal structure of KPmTlIn.

D(E_F): 1.83 states/eV/cell
E_tot: -2.86 eV/atom
E_form: -0.1180 eV/atom
SG: F-43m

Cell: 5.627 5.627 5.627 Å, 60.00 60.00 60.00°
Fractional positions:
1 Tl 0.000 0.000 0.000
2 In 0.500 0.500 0.500
3 K 0.750 0.750 0.750
4 Pm 0.250 0.250 0.250

Entry 8:
## KPrIn4 (GGA-PBE)

Data for an optimized crystal structure of KPrIn4.

D(E_F): 3.85 states/eV/cell
E_tot: -3.03 eV/atom
E_form: -0.2214 eV/atom
SG: F-43m

Cell: 6.236 6.236 6.236 Å, 60.00 60.00 60.00°
Fractional positions:
1 Pr 0.000 0.000 0.000
2 K 0.250 0.250 0.250
3 In 0.625 0.625 0.124
4 In 0.625 0.124 0.625
5 In 0.625 0.625 0.625
6 In 0.124 0.625 0.625

| no. | total magnetic moment (μB per cell) |
| --- | --- |
| 1 | 0.000 |
| 2 | 0.000 |
| 3 | 0.000 |
| 4 | 0.000 |
| 5 | 0.000 |
| 6 | 0.000 |
| 7 | 0.000 |
| 8 | 0.000 |